(1)
{
  "formula": "KTl2Si",
  "functional": "GGA-PBE",
  "state": "relaxed",
  "magnetic_moment_mub_per_atom": 0.000,
  "raw_formation_energy_ev_per_fu": 0.83,
  "total_energy_ev_per_cell": -20.85,
  "dos_ef_per_ev_cell": 5.5,
  "lattice_angstrom": [[-4.3906, 4.3906, 3.3633], [4.3906, -4.3906, 3.3633], [4.3906, 4.3906, -3.3633]],
  "species": ["K", "K", "Tl", "Tl", "Tl", "Tl", "Si", "Si"],
  "fractional_positions": [[0.0000, 0.0000, 0.0000], [0.7500, 0.2500, 0.5000], [0.2012, 0.6250, 0.0762], [0.3750, 0.4512, 0.5762], [0.5488, 0.1250, 0.9238], [0.8750, 0.7988, 0.4238], [0.2500, 0.7500, 0.5000], [0.5000, 0.5000, 0.0000]]
}


(2)
{
  "formula": "SrIrAu2",
  "functional": "GGA-PBE",
  "state": "relaxed",
  "magnetic_moment_mub_per_atom": 0.000,
  "total_energy_ev_per_cell": -17.90,
  "e_form_mev_per_atom": -201,
  "dos_ef_per_ev_cell": 2.2,
  "lattice_angstrom": [[4.0235, -2.3226, 0.0000], [4.0235, 2.3226, 0.0000], [-2.6896, 0.0000, 5.2298]],
  "species": ["Sr", "Ir", "Au", "Au"],
  "fractional_positions": [[0.0000, 0.0000, 0.0000], [0.8109, 0.8109, 0.4337], [0.1942, 0.1942, 0.5832], [0.4730, 0.4730, 0.4201]]
}


(3)
{
  "formula": "Li2MnHg",
  "functional": "GGA-PBE",
  "state": "relaxed",
  "magnetic_moment_mub_per_atom": 0.955,
  "total_energy_ev_per_cell": -12.91,
  "e_form_mev_per_atom": 98,
  "dos_ef_per_ev_cell": 3.0,
  "lattice_angstrom": [[2.9310, -3.8163, 0.0000], [2.9310, 3.8163, 0.0000], [0.0000, 0.0000, 3.0064]],
  "species": ["Li", "Li", "Mn", "Hg"],
  "fractional_positions": [[0.0000, 0.5000, 0.0000], [0.5000, 0.0000, 0.0000], [0.0000, 0.0000, 0.5000], [0.5000, 0.5000, 0.5000]]
}


(4)
{
  "formula": "BaTeF2",
  "functional": "GGA-PBE",
  "state": "relaxed",
  "magnetic_moment_mub_per_atom": 0.181,
  "raw_formation_energy_ev_per_fu": -9.43,
  "total_energy_ev_per_cell": -18.23,
  "dos_ef_per_ev_cell": 2.5,
  "lattice_angstrom": [[1.9944, 1.1515, 9.6839], [-1.9944, 1.1515, 9.6839], [0.0000, -2.3029, 9.6839]],
  "species": ["Ba", "Te", "F", "F"],
  "fractional_positions": [[0.0000, 0.0000, 0.0000], [0.5000, 0.5000, 0.5000], [0.3727, 0.3727, 0.3727], [0.6273, 0.6273, 0.6273]]
}


(5)
{
  "formula": "Y12Tm5Sc2",
  "functional": "GGA-PBE",
  "state": "relaxed",
  "magnetic_moment_mub_per_atom": 0.000,
  "total_energy_ev_per_cell": -110.23,
  "e_form_mev_per_atom": 124,
  "dos_ef_per_ev_cell": 32.8,
  "lattice_angstrom": [[7.6851, -4.5827, 0.0000], [7.6851, 4.5827, 0.0000], [-0.2449, 0.0000, 8.4987]],
  "species": ["Y", "Y", "Y", "Y", "Y", "Y", "Y", "Y", "Y", "Y", "Y", "Y", "Tm", "Tm", "Tm", "Tm", "Tm", "Sc", "Sc"],
  "fractional_positions": [[0.0571, 0.0571, 0.3343], [0.0657, 0.6772, 0.3252], [0.1689, 0.5331, 0.7658], [0.3228, 0.9343, 0.6748], [0.4212, 0.4212, 0.1223], [0.4669, 0.8311, 0.2342], [0.5331, 0.1689, 0.7658], [0.5788, 0.5788, 0.8777], [0.6772, 0.0657, 0.3252], [0.8311, 0.4669, 0.2342], [0.9343, 0.3228, 0.6748], [0.9429, 0.9429, 0.6657], [0.2009, 0.2009, 0.0205], [0.2687, 0.2687, 0.4300], [0.5000, 0.5000, 0.5000], [0.7313, 0.7313, 0.5700], [0.7991, 0.7991, 0.9795], [0.1673, 0.8327, 0.0000], [0.8327, 0.1673, 0.0000]]
}


(6)
{
  "formula": "PrHo3ErTh",
  "functional": "GGA-PBE",
  "state": "relaxed",
  "magnetic_moment_mub_per_atom": 0.000,
  "total_energy_ev_per_cell": -60.65,
  "e_form_mev_per_atom": 29,
  "dos_ef_per_ev_cell": 18.1,
  "lattice_angstrom": [[7.9642, 0.0000, 0.0000], [0.0000, 5.0578, 0.0000], [-3.2706, 0.0000, 9.5594]],
  "species": ["Pr", "Pr", "Ho", "Ho", "Ho", "Ho", "Ho", "Ho", "Er", "Er", "Th", "Th"],
  "fractional_positions": [[0.1680, 0.2500, 0.2922], [0.8320, 0.7500, 0.7078], [0.1698, 0.7500, 0.5439], [0.1748, 0.7500, 0.0427], [0.1762, 0.2500, 0.7932], [0.8238, 0.7500, 0.2068], [0.8252, 0.2500, 0.9573], [0.8302, 0.2500, 0.4561], [0.4988, 0.2500, 0.6281], [0.5012, 0.7500, 0.3719], [0.4977, 0.7500, 0.8786], [0.5023, 0.2500, 0.1214]]
}